Density functional theory data (meta-GGA SCAN) for a PBEsol-optimized structure of Hf3CrAs.

- Theoretical density: 9495 kg/m3
- Total energy: -45.01 eV/atom
- ΔH_f (0 K): 0.3041 eV/atom

Structure (CIF):
```
data_Hf3CrAs
_chemical_formula_sum 'Hf3 Cr1 As1'
_symmetry_space_group_name_H-M 'P 1'
_symmetry_Int_Tables_number 1
_symmetry_space_group_name_Hall 'P 1'
_cell_length_a 4.8748
_cell_length_b 4.8748
_cell_length_c 4.8748
_cell_angle_alpha 90.00
_cell_angle_beta 90.00
_cell_angle_gamma 90.00
loop_
_atom_site_label
_atom_site_type_symbol
_atom_site_fract_x
_atom_site_fract_y
_atom_site_fract_z
_atom_site_occupancy
Cr1 Cr 0.5000 0.5000 0.5000 1
As1 As 0.0000 0.0000 0.0000 1
Hf1 Hf 0.0000 0.5000 0.0000 1
Hf2 Hf 0.0000 0.0000 0.5000 1
Hf3 Hf 0.5000 0.0000 0.0000 1
```

***

Density functional theory data (meta-GGA SCAN) for a PBEsol-optimized structure of CdSi2Ni.

- Theoretical density: 6343 kg/m3
- Formation energy from raw total energies: 183 kJ/mol of formula units
- Total energy: -16.18 eV/atom

Structure (CIF):
```
data_CdSi2Ni
_chemical_formula_sum 'Cd1 Si2 Ni1'
_symmetry_space_group_name_H-M 'P 1'
_symmetry_Int_Tables_number 1
_symmetry_space_group_name_Hall 'P 1'
_cell_length_a 2.9294
_cell_length_b 4.3567
_cell_length_c 5.3345
_cell_angle_alpha 113.61
_cell_angle_beta 105.24
_cell_angle_gamma 91.65
loop_
_atom_site_label
_atom_site_type_symbol
_atom_site_fract_x
_atom_site_fract_y
_atom_site_fract_z
_atom_site_occupancy
Cd1 Cd 0.0000 0.0000 0.0000 1
Ni1 Ni 0.5000 0.5000 0.0000 1
Si1 Si 0.0000 0.0000 0.5000 1
Si2 Si 0.5000 0.5000 0.5000 1
```

***

Density functional theory data (meta-GGA SCAN) for a PBEsol-optimized structure of Y2Hf2Mg.

- Theoretical density: 6943 kg/m3
- Total energy: -36.47 eV/atom
- ΔH_f (0 K): 0.7283 eV/atom

Structure (CIF):
```
data_Y2Hf2Mg
_chemical_formula_sum 'Y2 Hf2 Mg1'
_symmetry_space_group_name_H-M 'P 1'
_symmetry_Int_Tables_number 1
_symmetry_space_group_name_Hall 'P 1'
_cell_length_a 4.3099
_cell_length_b 4.3099
_cell_length_c 7.8170
_cell_angle_alpha 106.00
_cell_angle_beta 106.00
_cell_angle_gamma 90.00
loop_
_atom_site_label
_atom_site_type_symbol
_atom_site_fract_x
_atom_site_fract_y
_atom_site_fract_z
_atom_site_occupancy
Y1 Y 0.2500 0.7500 0.5000 1
Y2 Y 0.7500 0.2500 0.5000 1
Mg1 Mg 0.0000 0.0000 0.0000 1
Hf1 Hf 0.4118 0.4118 0.8237 1
Hf2 Hf 0.5882 0.5882 0.1763 1
```

***

Density functional theory data (meta-GGA SCAN) for a PBEsol-optimized structure of CaMoIr2.

- Theoretical density: 13345 kg/m3
- Total energy: -46.46 eV/atom
- Excess energy over the best structure of this formula in the dataset: 0.204 eV/atom
- ΔH_f (0 K): 0.2298 eV/atom

Structure (CIF):
```
data_CaMoIr2
_chemical_formula_sum 'Ca1 Mo1 Ir2'
_symmetry_space_group_name_H-M 'P 1'
_symmetry_Int_Tables_number 1
_symmetry_space_group_name_Hall 'P 1'
_cell_length_a 3.8976
_cell_length_b 3.8976
_cell_length_c 5.0763
_cell_angle_alpha 112.58
_cell_angle_beta 112.58
_cell_angle_gamma 90.00
loop_
_atom_site_label
_atom_site_type_symbol
_atom_site_fract_x
_atom_site_fract_y
_atom_site_fract_z
_atom_site_occupancy
Mo1 Mo 0.5000 0.5000 0.0000 1
Ir1 Ir 0.0000 0.0000 0.0000 1
Ir2 Ir 0.7500 0.2500 0.5000 1
Ca1 Ca 0.2500 0.7500 0.5000 1
```

***

Density functional theory data (meta-GGA SCAN) for a PBEsol-optimized structure of MnBi2Ir.

- Theoretical density: 13661 kg/m3
- Total energy: -61.25 eV/atom
- ΔH_f (0 K): 0.3813 eV/atom

Structure (CIF):
```
data_MnBi2Ir
_chemical_formula_sum 'Mn1 Bi2 Ir1'
_symmetry_space_group_name_H-M 'P 1'
_symmetry_Int_Tables_number 1
_symmetry_space_group_name_Hall 'P 1'
_cell_length_a 4.8536
_cell_length_b 4.8536
_cell_length_c 4.8536
_cell_angle_alpha 60.00
_cell_angle_beta 60.00
_cell_angle_gamma 60.00
loop_
_atom_site_label
_atom_site_type_symbol
_atom_site_fract_x
_atom_site_fract_y
_atom_site_fract_z
_atom_site_occupancy
Ir1 Ir 0.5000 0.5000 0.5000 1
Bi1 Bi 0.2500 0.2500 0.2500 1
Bi2 Bi 0.7500 0.7500 0.7500 1
Mn1 Mn 0.0000 0.0000 0.0000 1
```

***

Density functional theory data (meta-GGA SCAN) for a PBEsol-optimized structure of CdInOF2.

- Theoretical density: 6242 kg/m3
- Formation energy from raw total energies: -806 kJ/mol of formula units
- Total energy: -17.09 eV/atom

Structure (CIF):
```
data_CdInOF2
_chemical_formula_sum 'Cd1 In1 O1 F2'
_symmetry_space_group_name_H-M 'P 1'
_symmetry_Int_Tables_number 1
_symmetry_space_group_name_Hall 'P 1'
_cell_length_a 4.0814
_cell_length_b 4.2813
_cell_length_c 4.2813
_cell_angle_alpha 90.00
_cell_angle_beta 90.00
_cell_angle_gamma 90.00
loop_
_atom_site_label
_atom_site_type_symbol
_atom_site_fract_x
_atom_site_fract_y
_atom_site_fract_z
_atom_site_occupancy
F1 F 0.0000 0.0000 0.5000 1
F2 F 0.0000 0.5000 0.0000 1
Cd1 Cd 0.5000 0.5000 0.5000 1
O1 O 0.5000 0.0000 0.0000 1
In1 In 0.0000 0.0000 0.0000 1
```

***

Density functional theory data (meta-GGA SCAN) for a PBEsol-optimized structure of ZrCuPt2.

- Theoretical density: 14586 kg/m3
- Total energy: -47.25 eV/atom
- ΔH_f (0 K): -0.6802 eV/atom

Structure (CIF):
```
data_ZrCuPt2
_chemical_formula_sum 'Zr1 Cu1 Pt2'
_symmetry_space_group_name_H-M 'P 1'
_symmetry_Int_Tables_number 1
_symmetry_space_group_name_Hall 'P 1'
_cell_length_a 2.8602
_cell_length_b 3.9825
_cell_length_c 5.4461
_cell_angle_alpha 90.00
_cell_angle_beta 89.97
_cell_angle_gamma 90.00
loop_
_atom_site_label
_atom_site_type_symbol
_atom_site_fract_x
_atom_site_fract_y
_atom_site_fract_z
_atom_site_occupancy
Cu1 Cu 0.4998 0.5000 0.7724 1
Pt1 Pt 0.9999 0.0000 0.9741 1
Pt2 Pt 0.5003 0.5000 0.2552 1
Zr1 Zr 0.0000 0.0000 0.4983 1
```

***

Density functional theory data (meta-GGA SCAN) for a PBEsol-optimized structure of DyErO3.

- Theoretical density: 8720 kg/m3
- Formation energy from raw total energies: -1866 kJ/mol of formula units
- Total energy: -27.23 eV/atom

Structure (CIF):
```
data_DyErO3
_chemical_formula_sum 'Dy6 Er6 O18'
_symmetry_space_group_name_H-M 'P 1'
_symmetry_Int_Tables_number 1
_symmetry_space_group_name_Hall 'P 1'
_cell_length_a 6.3137
_cell_length_b 6.3137
_cell_length_c 12.5023
_cell_angle_alpha 90.00
_cell_angle_beta 90.00
_cell_angle_gamma 120.00
loop_
_atom_site_label
_atom_site_type_symbol
_atom_site_fract_x
_atom_site_fract_y
_atom_site_fract_z
_atom_site_occupancy
Dy1 Dy 0.3333 0.6667 0.2698 1
Dy2 Dy 0.0000 0.0000 0.2339 1
Dy3 Dy 0.0000 0.0000 0.7339 1
Dy4 Dy 0.3333 0.6667 0.7698 1
Dy5 Dy 0.6667 0.3333 0.7698 1
Dy6 Dy 0.6667 0.3333 0.2698 1
Er1 Er 0.3331 0.0000 0.0037 1
Er2 Er 0.6669 0.0000 0.5037 1
Er3 Er 0.6669 0.6669 0.0037 1
Er4 Er 0.3331 0.3331 0.5037 1
Er5 Er 0.0000 0.6669 0.5037 1
Er6 Er 0.0000 0.3331 0.0037 1
O1 O 0.3042 0.0000 0.8302 1
O2 O 0.3654 0.0000 0.1757 1
O3 O 0.6346 0.0000 0.6757 1
O4 O 0.6958 0.0000 0.3302 1
O5 O 0.3333 0.6667 0.4738 1
O6 O 0.0000 0.0000 0.0389 1
O7 O 0.0000 0.0000 0.5389 1
O8 O 0.3333 0.6667 0.9738 1
O9 O 0.6958 0.6958 0.8302 1
O10 O 0.6346 0.6346 0.1757 1
O11 O 0.0000 0.6958 0.3302 1
O12 O 0.3654 0.3654 0.6757 1
O13 O 0.3042 0.3042 0.3302 1
O14 O 0.0000 0.6346 0.6757 1
O15 O 0.6667 0.3333 0.9738 1
O16 O 0.6667 0.3333 0.4738 1
O17 O 0.0000 0.3654 0.1757 1
O18 O 0.0000 0.3042 0.8302 1
```

***

Density functional theory data (meta-GGA SCAN) for a PBEsol-optimized structure of Ba3ThSe7.

- Theoretical density: 5847 kg/m3
- Formation energy from raw total energies: -1961 kJ/mol of formula units
- Total energy: -34.13 eV/atom

Structure (CIF):
```
data_Ba3ThSe7
_chemical_formula_sum 'Ba3 Th1 Se7'
_symmetry_space_group_name_H-M 'P 1'
_symmetry_Int_Tables_number 1
_symmetry_space_group_name_Hall 'P 1'
_cell_length_a 5.7814
_cell_length_b 8.3263
_cell_length_c 8.3263
_cell_angle_alpha 69.29
_cell_angle_beta 69.69
_cell_angle_gamma 69.69
loop_
_atom_site_label
_atom_site_type_symbol
_atom_site_fract_x
_atom_site_fract_y
_atom_site_fract_z
_atom_site_occupancy
Se1 Se 0.0961 0.6093 0.1984 1
Se2 Se 0.9039 0.8016 0.3907 1
Se3 Se 0.7929 0.2899 0.7101 1
Se4 Se 0.2071 0.2899 0.7101 1
Se5 Se 0.2337 0.8064 0.7263 1
Se6 Se 0.7663 0.2737 0.1936 1
Se7 Se 0.5000 0.9436 0.0564 1
Ba1 Ba 0.2389 0.1452 0.3769 1
Ba2 Ba 0.7611 0.6231 0.8548 1
Ba3 Ba 0.5000 0.5926 0.4074 1
Th1 Th 0.0000 0.9998 0.0002 1
```

***

Density functional theory data (meta-GGA SCAN) for a PBEsol-optimized structure of Rh2PbAu.

- Theoretical density: 14479 kg/m3
- Total energy: -52.88 eV/atom
- ΔH_f (0 K): 0.2433 eV/atom

Structure (CIF):
```
data_Rh2PbAu
_chemical_formula_sum 'Rh2 Pb1 Au1'
_symmetry_space_group_name_H-M 'P 1'
_symmetry_Int_Tables_number 1
_symmetry_space_group_name_Hall 'P 1'
_cell_length_a 3.2228
_cell_length_b 3.2228
_cell_length_c 6.7355
_cell_angle_alpha 90.00
_cell_angle_beta 90.00
_cell_angle_gamma 90.00
loop_
_atom_site_label
_atom_site_type_symbol
_atom_site_fract_x
_atom_site_fract_y
_atom_site_fract_z
_atom_site_occupancy
Au1 Au 0.0000 0.0000 0.4595 1
Pb1 Pb 0.5000 0.5000 0.7705 1
Rh1 Rh 0.0000 0.0000 0.0421 1
Rh2 Rh 0.5000 0.5000 0.2278 1
```